Entry 1:
{
  "formula": "La3CoPb",
  "functional": "PBE-GGA",
  "state": "relaxed",
  "e_above_lowest_polymorph_mev_per_atom": 636.8,
  "spacegroup": "Cmcm, No. 63",
  "n_ef_per_ev_fu": 5.2,
  "dft_energy_ha_per_atom": -0.17924,
  "crystal_system": "orthorhombic",
  "magnetic_moment_mub_per_atom": 0.0004,
  "e_form_mev_per_atom": 242,
  "lattice": [[2.976, 8.443, -1.374], [-7.237, -4.386, -3.228], [-2.970, 1.745, 4.287]],
  "species": ["Pb", "Pb", "Co", "Co", "La", "La", "La", "La", "La", "La"],
  "frac_coords": [[0.185, 0.815, 0.250], [0.815, 0.185, 0.750], [0.482, 0.518, 0.250], [0.518, 0.482, 0.750], [0.577, 0.858, 0.250], [0.142, 0.423, 0.250], [0.858, 0.577, 0.750], [0.423, 0.142, 0.750], [0.000, 0.000, 0.000], [0.000, 0.000, 0.500]]
}

=====

Entry 2:
{
  "formula": "NaBTe2",
  "functional": "PBE-GGA",
  "state": "relaxed",
  "spacegroup": "R-3m, No. 166",
  "e_form_raw_ev_per_fu": 0.08,
  "n_ef_per_ev_fu": 0.0,
  "dft_energy_ha_per_atom": -0.13048,
  "crystal_system": "trigonal",
  "magnetic_moment_mub_per_atom": 0.0000,
  "lattice": [[-1.826, 7.276, -0.087], [-4.241, 4.811, 3.893], [0.852, 6.094, 4.292]],
  "species": ["Na", "B", "Te", "Te"],
  "frac_coords": [[0.500, 0.500, 0.500], [0.000, 0.000, 0.000], [0.901, 0.901, 0.901], [0.099, 0.099, 0.099]]
}